{"formula": "DyErAlCo2", "functional": "PBE", "state": "relaxed", "lattice": [[3.856, 0.000, 0.000], [0.000, 1.870, 6.528], [0.000, -1.870, 6.528]], "species": ["Dy", "Er", "Al", "Co", "Co"], "fractional_positions": [[0.000, 0.000, 0.000], [0.000, 0.730, 0.730], [0.500, 0.364, 0.364], [0.500, 0.167, 0.167], [0.500, 0.566, 0.566]], "space_group": "Amm2 (38)", "crystal_system": "orthorhombic", "rho_g_cm3": 8.37, "dft_energy_ev_per_atom": -5.746}



{"formula": "Tm3B7W", "functional": "PBE", "state": "relaxed", "lattice": [[1.712, -7.875, 0.000], [1.712, 7.875, 0.000], [0.000, 0.000, 9.396]], "species": ["Tm", "Tm", "Tm", "Tm", "Tm", "Tm", "B", "B", "B", "B", "B", "B", "B", "B", "B", "B", "B", "B", "B", "B", "W", "W"], "fractional_positions": [[0.107, 0.893, 0.560], [0.107, 0.893, 0.940], [0.244, 0.756, 0.250], [0.756, 0.244, 0.750], [0.893, 0.107, 0.060], [0.893, 0.107, 0.440], [0.272, 0.728, 0.533], [0.272, 0.728, 0.967], [0.365, 0.635, 0.647], [0.365, 0.635, 0.853], [0.453, 0.547, 0.250], [0.481, 0.519, 0.591], [0.481, 0.519, 0.909], [0.519, 0.481, 0.091], [0.519, 0.481, 0.409], [0.547, 0.453, 0.750], [0.635, 0.365, 0.147], [0.635, 0.365, 0.353], [0.728, 0.272, 0.033], [0.728, 0.272, 0.467], [0.053, 0.947, 0.250], [0.947, 0.053, 0.750]], "space_group": "Cmcm (63)", "crystal_system": "orthorhombic", "rho_g_cm3": 10.04, "dft_energy_ev_per_atom": -7.289}



{"formula": "YTlZn", "functional": "PBE", "state": "relaxed", "lattice": [[0.000, 3.409, 3.409], [3.409, 0.000, 3.409], [3.409, 3.409, 0.000]], "species": ["Y", "Tl", "Zn"], "fractional_positions": [[0.000, 0.000, 0.000], [0.250, 0.250, 0.250], [0.500, 0.500, 0.500]], "space_group": "F-43m (216)", "crystal_system": "cubic", "rho_g_cm3": 7.52, "dft_energy_ev_per_atom": -3.491}



{"formula": "Tb6TlPd2", "functional": "PBE", "state": "relaxed", "lattice": [[-4.738, 4.944, 5.233], [4.738, -4.944, 5.233], [4.738, 4.944, -5.233]], "species": ["Tb", "Tb", "Tb", "Tb", "Tb", "Tb", "Tb", "Tb", "Tb", "Tb", "Tb", "Tb", "Tl", "Tl", "Pd", "Pd", "Pd", "Pd"], "fractional_positions": [[0.036, 0.236, 0.800], [0.183, 0.291, 0.474], [0.183, 0.709, 0.893], [0.327, 0.025, 0.698], [0.327, 0.628, 0.302], [0.436, 0.236, 0.200], [0.564, 0.764, 0.800], [0.673, 0.372, 0.698], [0.673, 0.975, 0.302], [0.817, 0.291, 0.107], [0.817, 0.709, 0.526], [0.964, 0.764, 0.200], [0.000, 0.000, 0.000], [0.500, 0.500, 0.000], [0.132, 0.632, 0.500], [0.347, 0.000, 0.347], [0.653, 0.000, 0.653], [0.868, 0.368, 0.500]], "space_group": "Immm (71)", "crystal_system": "orthorhombic", "rho_g_cm3": 9.28, "dft_energy_ev_per_atom": -5.006}



Copy entry 2 word for word.
{"formula": "Tm3B7W", "functional": "PBE", "state": "relaxed", "lattice": [[1.712, -7.875, 0.000], [1.712, 7.875, 0.000], [0.000, 0.000, 9.396]], "species": ["Tm", "Tm", "Tm", "Tm", "Tm", "Tm", "B", "B", "B", "B", "B", "B", "B", "B", "B", "B", "B", "B", "B", "B", "W", "W"], "fractional_positions": [[0.107, 0.893, 0.560], [0.107, 0.893, 0.940], [0.244, 0.756, 0.250], [0.756, 0.244, 0.750], [0.893, 0.107, 0.060], [0.893, 0.107, 0.440], [0.272, 0.728, 0.533], [0.272, 0.728, 0.967], [0.365, 0.635, 0.647], [0.365, 0.635, 0.853], [0.453, 0.547, 0.250], [0.481, 0.519, 0.591], [0.481, 0.519, 0.909], [0.519, 0.481, 0.091], [0.519, 0.481, 0.409], [0.547, 0.453, 0.750], [0.635, 0.365, 0.147], [0.635, 0.365, 0.353], [0.728, 0.272, 0.033], [0.728, 0.272, 0.467], [0.053, 0.947, 0.250], [0.947, 0.053, 0.750]], "space_group": "Cmcm (63)", "crystal_system": "orthorhombic", "rho_g_cm3": 10.04, "dft_energy_ev_per_atom": -7.289}



- Which formula does entry 1 have?
  DyErAlCo2